Computed, not measured: a geometry-optimized Zn6NiAg2 structure at the PBE level of DFT.

Values from the calculation:
Calculated total energy (eV/atom): -2.14
Volume (A^3/atom): 15.510
Formation energy (eV/f.u.): -0.097

Cell and atoms, written as CIF:
```
data_Zn6NiAg2
_chemical_formula_sum 'Zn12 Ni2 Ag4'
_space_group_name_H-M_alt 'C m m m'
_space_group_IT_number 65
_space_group_name_Hall '-C 2 2'
_cell_length_a 7.370
_cell_length_b 13.279
_cell_length_c 2.853
_cell_angle_alpha 90.00
_cell_angle_beta 90.00
_cell_angle_gamma 90.00
loop_
_atom_site_label
_atom_site_fract_x
_atom_site_fract_y
_atom_site_fract_z
Zn1 0.176 0.159 0.000
Zn2 0.203 0.500 0.500
Ni1 0.000 0.000 0.000
Ag1 0.000 0.321 0.500
```


Computed, not measured: a geometry-optimized CdHgSe2 structure at the PBE level of DFT.

Values from the calculation:
Calculated total energy (eV/atom): -2.46
Volume (A^3/atom): 30.229
Excess energy over the best structure of this formula in the dataset (meV/atom): 0
Formation energy without anion corrections (meV/atom): -417

Cell and atoms, written as CIF:
```
data_CdHgSe2
_chemical_formula_sum 'Cd2 Hg2 Se4'
_space_group_name_H-M_alt 'P m n 21'
_space_group_IT_number 31
_space_group_name_Hall 'P 2ac -2'
_cell_length_a 4.407
_cell_length_b 8.803
_cell_length_c 6.233
_cell_angle_alpha 90.00
_cell_angle_beta 90.00
_cell_angle_gamma 90.00
loop_
_atom_site_label
_atom_site_fract_x
_atom_site_fract_y
_atom_site_fract_z
Cd1 0.000 0.124 0.000
Hg1 0.000 0.627 0.999
Se1 0.000 0.374 0.247
Se2 0.000 0.878 0.253
```


Computed, not measured: a geometry-optimized Mg2GaIrO6 structure at the PBE level of DFT.

Values from the calculation:
Calculated total energy (eV/atom): -6.21
Volume (A^3/atom): 10.574
Formation energy without anion corrections (meV/atom): -1729

Cell and atoms, written as CIF:
```
data_Mg2GaIrO6
_chemical_formula_sum 'Mg6 Ga3 Ir3 O18'
_space_group_name_H-M_alt 'R 3'
_space_group_IT_number 146
_space_group_name_Hall 'R 3'
_cell_length_a 5.1597
_cell_length_b 5.1597
_cell_length_c 13.7580
_cell_angle_alpha 90.00
_cell_angle_beta 90.00
_cell_angle_gamma 120.00
loop_
_atom_site_label
_atom_site_fract_x
_atom_site_fract_y
_atom_site_fract_z
Mg1 0.0000 0.0000 0.0000
Mg2 0.0000 0.0000 0.4951
Ga1 0.0000 0.0000 0.2102
Ir1 0.0000 0.0000 0.7000
O1 0.0384 0.6832 0.2736
O2 0.0403 0.3477 0.7736
```


Computed, not measured: a geometry-optimized TmScCo structure at the PBE level of DFT.

Values from the calculation:
Calculated total energy (eV/atom): -6.16
Volume (A^3/atom): 20.751
Excess energy over the best structure of this formula in the dataset (meV/atom): 50
Formation energy (eV/f.u.): -0.582

Cell and atoms, written as CIF:
```
data_TmScCo
_chemical_formula_sum 'Tm2 Sc2 Co2'
_space_group_name_H-M_alt 'I 4 m m'
_space_group_IT_number 107
_space_group_name_Hall 'I 4 -2'
_cell_length_a 3.230
_cell_length_b 3.230
_cell_length_c 11.937
_cell_angle_alpha 90.00
_cell_angle_beta 90.00
_cell_angle_gamma 90.00
loop_
_atom_site_label
_atom_site_fract_x
_atom_site_fract_y
_atom_site_fract_z
Tm1 0.000 0.000 0.000
Sc1 0.000 0.000 0.261
Co1 0.000 0.000 0.640
```


Computed, not measured: a geometry-optimized Li2Pr2ErIn5 structure at the PBE level of DFT.

Values from the calculation:
Calculated total energy (eV/atom): -3.59
Volume (A^3/atom): 24.407
Formation energy (eV/f.u.): -4.265

Cell and atoms, written as CIF:
```
data_Li2Pr2ErIn5
_chemical_formula_sum 'Li4 Pr4 Er2 In10'
_space_group_name_H-M_alt 'P 4/m b m'
_space_group_IT_number 127
_space_group_name_Hall '-P 4 2ab'
_cell_length_a 10.358
_cell_length_b 10.358
_cell_length_c 4.550
_cell_angle_alpha 90.00
_cell_angle_beta 90.00
_cell_angle_gamma 90.00
loop_
_atom_site_label
_atom_site_fract_x
_atom_site_fract_y
_atom_site_fract_z
Li1 0.116 0.384 0.000
Pr1 0.179 0.679 0.000
Er1 0.000 0.000 0.000
In1 0.000 0.500 0.500
In2 0.067 0.210 0.500
```


Computed, not measured: a geometry-optimized SrGaAg4 structure at the PBE level of DFT.

Values from the calculation:
Calculated total energy (eV/atom): -2.82
Volume (A^3/atom): 21.798
Excess energy over the best structure of this formula in the dataset (meV/atom): 0
Formation energy (eV/f.u.): -0.790

Cell and atoms, written as CIF:
```
data_SrGaAg4
_chemical_formula_sum 'Sr4 Ga4 Ag16'
_space_group_name_H-M_alt 'C m c m'
_space_group_IT_number 63
_space_group_name_Hall '-C 2c 2'
_cell_length_a 4.396
_cell_length_b 16.710
_cell_length_c 7.122
_cell_angle_alpha 90.00
_cell_angle_beta 90.00
_cell_angle_gamma 90.00
loop_
_atom_site_label
_atom_site_fract_x
_atom_site_fract_y
_atom_site_fract_z
Sr1 0.000 0.115 0.250
Ga1 0.000 0.237 0.750
Ag1 0.000 0.076 0.750
Ag2 0.000 0.326 0.057
Ag3 0.000 0.500 0.000
```


Computed, not measured: a geometry-optimized Sr3Co5Cl12 structure at the PBE level of DFT.

Values from the calculation:
Calculated total energy (eV/atom): -4.27
Volume (A^3/atom): 23.192
Formation energy without anion corrections (meV/atom): -1130

Cell and atoms, written as CIF:
```
data_Sr3Co5Cl12
_chemical_formula_sum 'Sr24 Co40 Cl96'
_space_group_name_H-M_alt 'I a -3 d'
_space_group_IT_number 230
_space_group_name_Hall '-I 4bd 2c 3'
_cell_length_a 15.482
_cell_length_b 15.482
_cell_length_c 15.482
_cell_angle_alpha 90.00
_cell_angle_beta 90.00
_cell_angle_gamma 90.00
loop_
_atom_site_label
_atom_site_fract_x
_atom_site_fract_y
_atom_site_fract_z
Sr1 0.000 0.250 0.125
Co1 0.000 0.000 0.000
Co2 0.000 0.250 0.375
Cl1 0.031 0.056 0.648
```


Computed, not measured: a geometry-optimized YIn2Co structure at the PBE level of DFT.

Values from the calculation:
Calculated total energy (eV/atom): -4.84
Volume (A^3/atom): 21.567
Formation energy (eV/f.u.): -0.332

Cell and atoms, written as CIF:
```
data_YIn2Co
_chemical_formula_sum 'Y1 In2 Co1'
_space_group_name_H-M_alt 'P 4 m m'
_space_group_IT_number 99
_space_group_name_Hall 'P 4 -2'
_cell_length_a 3.353
_cell_length_b 3.353
_cell_length_c 7.674
_cell_angle_alpha 90.00
_cell_angle_beta 90.00
_cell_angle_gamma 90.00
loop_
_atom_site_label
_atom_site_fract_x
_atom_site_fract_y
_atom_site_fract_z
Y1 0.000 0.000 0.000
In1 0.000 0.000 0.404
In2 0.500 0.500 0.689
Co1 0.500 0.500 0.226
```